(1)
Density functional theory data (GGA-PBE) for an optimized crystal structure of Cd2TeRhAu. Values from VASP.

The crystal system is tetragonal. The space group is P4/mmm (123).

```
&SYSTEM
  ibrav = 0, nat = 5, ntyp = 4
/
ATOMIC_SPECIES
Cd 112.41 Cd.upf
Te 127.60 Te.upf
Rh 102.91 Rh.upf
Au 196.97 Au.upf
ATOMIC_POSITIONS angstrom
Cd 0.0000 2.6261 0.0000
Cd 2.6261 0.0000 0.0000
Te 0.0000 0.0000 2.4178
Rh 0.0000 0.0000 0.0000
Au 2.6261 2.6261 2.4178
CELL_PARAMETERS angstrom
5.2521 0.0000 0.0000
0.0000 5.2521 0.0000
0.0000 0.0000 4.8356
```

***

(2)
Density functional theory data (GGA-PBE) for an optimized crystal structure of Th2CdRh5Au. Values from VASP.

For the formation energy, the calculation gives -0.114 eV per atom. The crystal system is tetragonal. The space group is I4/mcm (140).

```
&SYSTEM
  ibrav = 0, nat = 18, ntyp = 4
/
ATOMIC_SPECIES
Th 232.04 Th.upf
Cd 112.41 Cd.upf
Rh 102.91 Rh.upf
Au 196.97 Au.upf
ATOMIC_POSITIONS angstrom
Th 5.3006 1.1544 0.0000
Th 1.1544 2.9918 0.0000
Th 2.9918 1.1544 5.4958
Th -1.1544 2.9918 5.4958
Cd 0.0000 0.0000 2.7479
Cd 0.0000 0.0000 8.2437
Rh 0.0000 0.0000 0.0000
Rh 2.5253 1.6209 -1.5052
Rh 2.5253 -1.6209 3.9906
Rh 2.5253 1.6209 1.5052
Rh 2.5253 -1.6209 7.0010
Rh 0.0000 0.0000 5.4958
Rh 1.6209 5.7671 -1.5052
Rh 1.6209 2.5253 3.9906
Rh 1.6209 5.7671 1.5052
Rh 1.6209 2.5253 7.0010
Au 4.1462 0.0000 2.7479
Au 0.0000 4.1462 2.7479
CELL_PARAMETERS angstrom
-4.1462 4.1462 5.4958
4.1462 -4.1462 5.4958
4.1462 4.1462 -5.4958
```

***

(3)
Density functional theory data (GGA-PBE) for an optimized crystal structure of TiCdRhAu. Values from VASP.

For the formation energy, the calculation gives -0.461 eV per atom. The crystal system is tetragonal. The space group is P4mm (99).

```
&SYSTEM
  ibrav = 0, nat = 4, ntyp = 4
/
ATOMIC_SPECIES
Ti 47.87 Ti.upf
Cd 112.41 Cd.upf
Rh 102.91 Rh.upf
Au 196.97 Au.upf
ATOMIC_POSITIONS angstrom
Ti 0.0000 0.0000 0.0000
Cd 0.0000 0.0000 3.2765
Rh 1.5637 1.5637 1.3113
Au 1.5637 1.5637 5.3293
CELL_PARAMETERS angstrom
3.1273 0.0000 0.0000
0.0000 3.1273 0.0000
0.0000 0.0000 7.1030
```

***

(4)
Density functional theory data (GGA-PBE) for an optimized crystal structure of Tm4CdRh2Au. Values from VASP.

For the formation energy, the calculation gives -0.729 eV per atom. The crystal system is trigonal. The space group is R-3m (166).

```
&SYSTEM
  ibrav = 0, nat = 8, ntyp = 4
/
ATOMIC_SPECIES
Tm 168.93 Tm.upf
Cd 112.41 Cd.upf
Rh 102.91 Rh.upf
Au 196.97 Au.upf
ATOMIC_POSITIONS angstrom
Tm 0.0000 0.0000 2.9618
Tm 0.0000 0.0000 9.0182
Tm 0.0000 0.0000 15.1979
Tm 0.0000 0.0000 21.2543
Cd 0.0000 0.0000 12.1081
Rh 0.0000 0.0000 5.9762
Rh 0.0000 0.0000 18.2399
Au 0.0000 0.0000 0.0000
CELL_PARAMETERS angstrom
2.4744 1.4286 8.0720
-2.4744 1.4286 8.0720
0.0000 -2.8572 8.0720
```

***

Total moment values, unit Bohr magnetons per cell, following the record order: 0.0 0.0 0.0 0.0.
Final energy values, unit eV per atom, following the record order: -2.89 -6.31 -5.32 -5.33.
Mass density values, unit kg/m3, following the record order: 8120 11319 10999 11551.